Entry from Alexandria: a relaxed NdTmCuRh crystal (PBE).

Calculated values
DFT formation energy: -0.530 eV/atom
total magnetic moment: 0.00 μB/atom
crystal system: orthorhombic
distance to the lowest polymorph of the same formula: 0.0000 eV/atom

Cell lengths 4.402, 5.587, 5.587 Å; angles 39.97, 90.00, 90.00 degrees
Sites, in units of the cell vectors:
Nd1 0.000 0.000 0.000
Tm1 0.500 0.722 0.722
Cu1 0.500 0.429 0.429
Rh1 0.000 0.274 0.274